(1)
Entry from Alexandria: an optimized crystal structure of Tl2TcSb (PBE).

Final energy = -4.157 eV per atom
Uncorrected formation energy = 0.648 eV per atom
Total moment = 0.490 μB/atom

Geometry as POSCAR:
```
Tl2TcSb
1.0
3.1819 0.0000 0.0000
0.0000 3.1819 0.0000
0.0000 0.0000 9.4987
Tl Tc Sb
2 1 1
direct
0.0000 0.0000 0.9562
0.0000 0.0000 0.5438
0.5000 0.5000 0.7500
0.5000 0.5000 0.2500
```

(2)
Entry from Alexandria: an optimized crystal structure of Tl2TcSb (PBE).

Final energy = -4.467 eV per atom
Uncorrected formation energy = 0.338 eV per atom
Total moment = 0.000 μB/atom

Geometry as POSCAR:
```
Tl2TcSb
1.0
-3.5968 7.2627 -6.8987
-1.5087 -7.6391 -7.2556
-4.9071 -0.5387 -6.2186
Sb Tc Tl
2 2 4
direct
0.7500 0.2500 0.5000
0.0000 0.0000 0.0000
0.2500 0.7500 0.5000
0.5000 0.5000 0.0000
0.3754 0.6250 0.2500
0.3746 0.1250 0.2500
0.3750 0.6254 0.7500
0.8750 0.6246 0.7500
```

(3)
Entry from Alexandria: an optimized crystal structure of Tl2TcSb (PBE).

Final energy = -4.111 eV per atom
Uncorrected formation energy = 0.695 eV per atom
Total moment = 0.485 μB/atom

Geometry as POSCAR:
```
Tl2TcSb
1.0
-0.2183 -2.7917 -3.9858
-3.2499 -2.5310 4.8705
-3.3281 0.8901 -0.5547
Tl Tc Sb
2 1 1
direct
0.0000 0.0000 0.0000
0.5000 0.0000 0.5000
0.5000 0.5000 0.0000
0.0000 0.5000 0.5000
```

(4)
Entry from Alexandria: an optimized crystal structure of Tl2TcSb (PBE).

Final energy = -4.141 eV per atom
Uncorrected formation energy = 0.665 eV per atom
Total moment = 0.266 μB/atom

Geometry as POSCAR:
```
Tl2TcSb
1.0
-1.5123 5.7962 8.4301
-4.3269 4.1258 8.4383
-1.6515 2.8309 9.8086
Tc Tl Sb
1 2 1
direct
0.7500 0.7500 0.7500
0.0101 0.0101 0.0101
0.4899 0.4899 0.4899
0.2500 0.2500 0.2500
```

(5)
Entry from Alexandria: an optimized crystal structure of Tl2TcSb (PBE).

Final energy = -4.542 eV per atom
Uncorrected formation energy = 0.264 eV per atom
Total moment = 0.000 μB/atom

Geometry as POSCAR:
```
Tl2TcSb
1.0
-9.3298 -3.5957 3.0145
-9.4699 -4.3959 -0.2402
-7.9702 -6.4653 1.9327
Tl Tc Sb
2 1 1
direct
0.2534 0.2534 0.2534
0.0149 0.0149 0.0149
0.7528 0.7528 0.7528
0.4789 0.4789 0.4789
```

(6)
Entry from Alexandria: an optimized crystal structure of Tl2TcSb (PBE).

Final energy = -4.163 eV per atom
Uncorrected formation energy = 0.642 eV per atom
Total moment = 0.444 μB/atom

Geometry as POSCAR:
```
Tl2TcSb
1.0
3.2168 -0.0218 0.0000
-0.6714 3.1460 0.0000
0.0000 0.0000 9.3991
Tc Tl Sb
1 2 1
direct
0.5000 0.5000 0.7500
0.0000 0.0000 0.5364
0.0000 0.0000 0.9636
0.5000 0.5000 0.2500
```

(7)
Entry from Alexandria: an optimized crystal structure of Tl2TcSb (PBE).

Final energy = -3.918 eV per atom
Uncorrected formation energy = 0.888 eV per atom
Total moment = 0.447 μB/atom

Geometry as POSCAR:
```
Tl2TcSb
1.0
-5.0309 -0.9960 -0.3042
-1.6176 -4.5228 -1.8227
-2.1355 -3.4321 3.1710
Tl Sb Tc
2 1 1
direct
0.2500 0.2500 0.2500
0.7500 0.7500 0.7500
0.0000 0.0000 0.0000
0.5000 0.5000 0.5000
```

(8)
Entry from Alexandria: an optimized crystal structure of TlTc4Sb (PBE).

Final energy = -7.401 eV per atom
Uncorrected formation energy = 0.591 eV per atom
Total moment = 0.000 μB/atom

Geometry as POSCAR:
```
TlTc4Sb
1.0
0.0000 3.7658 3.7658
3.7658 0.0000 3.7658
3.7658 3.7658 0.0000
Tc Tl Sb
4 1 1
direct
0.3745 0.3745 0.3745
0.3745 0.3745 0.8765
0.3745 0.8765 0.3745
0.8765 0.3745 0.3745
0.7500 0.7500 0.7500
0.0000 0.0000 0.0000
```

(9)
Entry from Alexandria: an optimized crystal structure of Tl2TcSb (PBE).

Final energy = -4.453 eV per atom
Uncorrected formation energy = 0.352 eV per atom
Total moment = 0.000 μB/atom

Geometry as POSCAR:
```
Tl2TcSb
1.0
7.3812 0.0086 -0.0044
5.1700 5.2681 0.0044
-5.8686 -3.6064 2.6524
Sb Tl Tc
1 2 1
direct
0.4211 0.4211 0.0000
0.0673 0.0673 0.0000
0.7466 0.2466 0.5000
0.2650 0.7650 0.5000
```

(10)
Entry from Alexandria: an optimized crystal structure of Tl2TcSb (PBE).

Final energy = -4.507 eV per atom
Uncorrected formation energy = 0.299 eV per atom
Total moment = 0.102 μB/atom

Geometry as POSCAR:
```
Tl2TcSb
1.0
-4.2312 5.5863 4.0326
-4.6634 3.0621 5.8522
2.7559 1.6673 2.9674
Sb Tc Tl
1 1 2
direct
0.7500 0.7500 0.7500
0.2500 0.2500 0.2500
0.5713 0.5713 0.4290
0.9287 0.9287 0.0710
```

(11)
Entry from Alexandria: an optimized crystal structure of YTl2TcSb (PBE).

Final energy = -3.948 eV per atom
Uncorrected formation energy = 1.189 eV per atom
Total moment = 0.654 μB/atom

Geometry as POSCAR:
```
YTl2TcSb
1.0
5.6827 0.0000 0.0000
0.0000 5.7570 0.0000
0.0000 0.0000 5.6827
Sb Tc Tl Y
1 1 2 1
direct
0.0000 0.0000 0.0000
0.5000 0.5000 0.5000
0.0000 0.0000 0.5000
0.5000 0.0000 0.0000
0.0000 0.5000 0.0000
```

(12)
Entry from Alexandria: an optimized crystal structure of Tm4TcSb (PBE).

Final energy = -5.886 eV per atom
Uncorrected formation energy = -0.490 eV per atom
Total moment = 0.000 μB/atom

Geometry as POSCAR:
```
Tm4TcSb
1.0
-3.3114 -1.9912 1.7792
-2.1799 -2.6990 -7.0776
10.4545 -15.1135 2.5436
Tm Tc Sb
16 4 4
direct
0.7500 0.9354 0.2095
0.7500 0.3833 0.8586
0.2500 0.9990 0.0643
0.2500 0.0646 0.7905
0.2500 0.6473 0.9531
0.2500 0.4990 0.4357
0.7500 0.5010 0.5643
0.2500 0.1167 0.3586
0.7500 0.4354 0.2905
0.7500 0.0010 0.9357
0.7500 0.8833 0.6414
0.7500 0.8527 0.4531
0.7500 0.3527 0.0469
0.2500 0.5646 0.7095
0.2500 0.6167 0.1414
0.2500 0.1473 0.5469
0.7500 0.2540 0.4384
0.2500 0.2460 0.9384
0.7500 0.7540 0.0616
0.2500 0.7460 0.5616
0.7500 0.2590 0.6939
0.2500 0.7410 0.3061
0.2500 0.2410 0.1939
0.7500 0.7590 0.8061
```